Entry from Alexandria via LeMat-Bulk: NaZr2TiF11 at its PBEsol-relaxed geometry (SCAN).

Cell: 5.696 5.696 7.772 Å, 110.70 110.70 73.09°
Fractional positions:
Na1 0.000 0.000 0.000
Zr1 0.496 0.496 0.766
Zr2 0.504 0.504 0.234
Ti1 0.000 0.000 0.500
F1 0.192 0.783 0.689
F2 0.217 0.808 0.311
F3 0.247 0.247 0.642
F4 0.266 0.266 0.109
F5 0.329 0.671 0.000
F6 0.500 0.500 0.500
F7 0.671 0.329 0.000
F8 0.734 0.734 0.891
F9 0.753 0.753 0.358
F10 0.783 0.192 0.689
F11 0.808 0.217 0.311

SG = C2/m, No. 12
E_form (uncorrected) = -3.7082 eV per atom
energy = -176.21 eV/cell